No. 1
A relaxed Cd4H6Pd7 crystal. Source: the Alexandria database, functional PBE-GGA.

Results
volume	14.202	Å³/atom
M_tot	0.000	Bohr magnetons per cell
total DFT energy (no corrections)	-3.300	eV per atom
crystal system	cubic

POSCAR file:
```
Cd4H6Pd7
1.0
6.406 0.000 -2.265
-3.203 5.547 -2.265
0.000 0.000 6.794
Cd H Pd
4 6 7
Cartesian
-1.601 2.774 -1.132
0.000 0.000 3.397
1.601 2.774 1.132
3.203 0.000 -1.132
1.358 0.000 0.960
-2.524 4.371 3.569
2.524 4.371 -3.569
5.048 0.000 3.569
0.679 1.176 -0.960
-0.679 1.176 0.960
3.203 2.774 -1.132
0.000 2.774 3.397
0.000 0.000 0.000
2.402 1.387 3.397
-0.801 4.161 1.132
0.801 4.161 -1.132
4.004 1.387 1.132
```

No. 2
A relaxed BaNa2Cd2Hg2 crystal. Source: the Alexandria database, functional PBE-GGA.

Results
volume	30.671	Å³/atom
ΔH_f (0 K)	-0.267	eV per atom
M_tot	0.000	Bohr magnetons per cell
total DFT energy (no corrections)	-1.266	eV per atom
crystal system	trigonal

POSCAR file:
```
BaNa2Cd2Hg2
1.0
5.121 0.000 0.000
2.561 4.435 0.000
2.561 1.478 9.453
Ba Cd Na Hg
1 2 2 2
Cartesian
0.000 0.000 0.000
7.682 4.435 7.204
2.561 1.478 2.249
2.561 1.478 5.626
7.682 4.435 3.827
5.121 2.957 2.240
5.121 2.957 7.213
```

No. 3
A relaxed Ti4CoAu crystal. Source: the Alexandria database, functional PBE-GGA.

Results
volume	16.684	Å³/atom
ΔH_f (0 K)	-0.060	eV per atom
M_tot	0.000	Bohr magnetons per cell
total DFT energy (no corrections)	-7.054	eV per atom
crystal system	monoclinic

POSCAR file:
```
Ti4CoAu
1.0
5.215 0.000 0.000
0.000 5.631 0.346
-2.607 -1.931 6.699
Ti Co Au
8 2 2
Cartesian
3.268 3.771 4.674
1.947 0.955 4.501
0.661 2.746 2.544
-0.599 1.452 5.780
3.207 2.249 1.265
0.599 -1.364 5.607
2.008 5.065 1.438
-0.661 -0.070 2.371
-1.304 1.850 3.522
1.304 -0.965 3.350
0.504 1.408 0.086
4.711 4.223 0.259
```

No. 4
A relaxed Mn2InCSe crystal. Source: the Alexandria database, functional PBE-GGA.

Results
volume	24.022	Å³/atom
M_tot	7.576	Bohr magnetons per cell
total DFT energy (no corrections)	-5.022	eV per atom
energy relative to the elements, uncorrected	1.74	eV per atom
crystal system	tetragonal

POSCAR file:
```
Mn2InCSe
1.0
-0.971 -4.394 0.685
3.795 -0.156 4.380
-3.301 1.182 2.902
In Se Mn C
1 1 2 1
Cartesian
1.898 -0.078 2.190
0.000 0.000 0.000
-0.485 -2.197 0.342
-1.650 0.591 1.451
-0.238 -1.684 3.984
```